1.
# ZnBRhPb2

ZnBRhPb2 after structural relaxation (PBE, the Alexandria database).

Its density is 7.6 g/cm³. The total energy comes out at -3.573 eV per atom. The total moment is 0.3 μB per formula unit.

abc: 5.1987 4.8002 5.1987
angles: 90.00 90.00 90.00
With the nearest neighbours (Å) after each atom.
Element x y z (fractional)
1 Pb 0.0000 0.0000 0.5000  2 Rh 2.60
2 Pb 0.5000 0.0000 0.0000  2 Rh 2.60
3 Zn 0.0000 0.5000 0.0000  2 Rh 2.40
4 B 0.5000 0.5000 0.5000  8 Pb 3.54, 4 Zn 3.68
5 Rh 0.0000 0.0000 0.0000  2 Zn 2.40, 4 Pb 2.60



2.
# TbNdTiN3

TbNdTiN3 after structural relaxation (PBE, the Alexandria database).

Its density is 6.5 g/cm³. The total energy comes out at -8.349 eV per atom. The total moment is 0.0 μB per formula unit.

abc: 3.5714 7.2849 7.7560
angles: 98.06 90.00 90.00
With the nearest neighbours (Å) after each atom.
Element x y z (fractional)
1 Tb 0.2500 0.6312 0.1589  3 N 2.28-2.43
2 Tb 0.7500 0.3688 0.8411  3 N 2.28-2.43
3 Nd 0.7500 0.8318 0.8317  5 N 2.46-2.70
4 Nd 0.2500 0.1682 0.1683  5 N 2.46-2.70
5 Ti 0.2500 0.1018 0.5977  4 N 1.94-2.05
6 Ti 0.7500 0.8982 0.4023  4 N 1.94-2.05
7 N 0.2500 0.8309 0.4810  3 Ti 1.97-2.05
8 N 0.7500 0.8878 0.1514  1 Ti 1.94
9 N 0.7500 0.4020 0.1380  3 Tb 2.28-2.43, 2 Nd 2.50
10 N 0.7500 0.1691 0.5190  3 Ti 1.97-2.05
11 N 0.2500 0.5980 0.8620  3 Tb 2.28-2.43, 2 Nd 2.50
12 N 0.2500 0.1122 0.8486  1 Ti 1.94



3.
# Ac8Ge3Se4S

Ac8Ge3Se4S after structural relaxation (PBE, the Alexandria database).

Its density is 7.5 g/cm³. The total energy comes out at -5.585 eV per atom. The total moment is 0.0 μB per formula unit.

abc: 9.0539 9.0510 9.0540
angles: 120.01 120.00 90.00
With the nearest neighbours (Å) after each atom.
Element x y z (fractional)
1 Ac 0.2472 0.7383 0.9911  2 Ge 3.14, 1 S 3.17, 3 Se 3.24-3.26
2 Ac 0.2473 0.7384 0.4946  2 Ge 3.14, 1 S 3.17, 3 Se 3.24-3.26
3 Ac 0.2531 0.2595 0.5063  3 Ge 3.16, 3 Se 3.24
4 Ac 0.7439 0.7383 0.9911  2 Ge 3.14, 1 S 3.17, 3 Se 3.24-3.26
5 Ac 0.2561 0.2617 0.0089  2 Ge 3.14, 1 S 3.17, 3 Se 3.24-3.26
6 Ac 0.7469 0.7405 0.4937  3 Ge 3.16, 3 Se 3.24
7 Ac 0.7527 0.2616 0.5054  2 Ge 3.14, 1 S 3.17, 3 Se 3.24-3.26
8 Ac 0.7528 0.2617 0.0089  2 Ge 3.14, 1 S 3.17, 3 Se 3.24-3.26
9 Ge 0.5000 0.5000 0.0000  6 Ac 3.14-3.16
10 Ge 0.5000 0.5000 0.5000  6 Ac 3.14-3.16
11 Ge 0.0000 0.5000 0.5000  6 Ac 3.14-3.16
12 Se 0.5000 0.0000 0.0000  6 Ac 3.24
13 Se 0.5000 0.0000 0.5000  6 Ac 3.24-3.26
14 Se 0.0000 0.0000 0.0000  6 Ac 3.24-3.26
15 Se 0.0000 0.0000 0.5000  6 Ac 3.24-3.26
16 S 0.0000 0.5000 0.0000  6 Ac 3.17



4.
# LaTeRu2

LaTeRu2 after structural relaxation (PBE, the Alexandria database).

Its density is 7.8 g/cm³. The total energy comes out at -6.700 eV per atom. The total moment is 0.0 μB per formula unit. The calculation puts the polymorph energy (0 for the lowest one) at 284 meV/atom.

abc: 4.1625 4.3576 5.5168
angles: 89.92 90.00 90.00
With the nearest neighbours (Å) after each atom.
Element x y z (fractional)
1 La 0.5000 0.7500 0.7500  8 Ru 3.23, 4 Te 3.51-3.52
2 Ru 0.0000 0.2499 0.9618  1 Ru 2.34
3 Ru 0.0000 0.2501 0.5382  1 Ru 2.34
4 Te 0.5000 0.2500 0.2500  4 Ru 2.62



5.
# AcPa2NiS8

AcPa2NiS8 after structural relaxation (PBE, the Alexandria database).

Its density is 6.8 g/cm³. The total energy comes out at -6.422 eV per atom. The total moment is 0.0 μB per formula unit.

abc: 5.9640 5.9640 7.9795
angles: 90.00 90.00 120.00
With the nearest neighbours (Å) after each atom.
Element x y z (fractional)
1 Ac 0.0000 0.0000 0.5000  12 S 3.17-3.48
2 Pa 0.6667 0.3333 0.1211  1 S 2.52
3 Pa 0.3333 0.6667 0.8789  1 S 2.52
4 Ni 0.0000 0.0000 0.0000  6 S 2.23
5 S 0.8287 0.6573 0.8295  1 Ni 2.23
6 S 0.3427 0.1713 0.8295  1 Ni 2.23
7 S 0.8287 0.1713 0.8295  1 Ni 2.23
8 S 0.1713 0.3427 0.1705  1 Ni 2.23
9 S 0.6573 0.8287 0.1705  1 Ni 2.23
10 S 0.1713 0.8287 0.1705  1 Ni 2.23
11 S 0.6667 0.3333 0.4370  1 Pa 2.52
12 S 0.3333 0.6667 0.5630  1 Pa 2.52



6.
# TiAlRh

TiAlRh after structural relaxation (PBE, the Alexandria database).

Its density is 6.0 g/cm³. The total energy comes out at -6.934 eV per atom. The total moment is 0.0 μB per formula unit.

abc: 4.2545 4.2545 6.7559
angles: 71.65 71.65 60.00
With the nearest neighbours (Å) after each atom.
Element x y z (fractional)
1 Rh 0.5755 0.5755 0.2734  3 Al 2.57, 4 Ti 2.59-2.60, 1 Rh 2.85
2 Rh 0.4245 0.4245 0.7266  3 Al 2.57, 4 Ti 2.59-2.60, 1 Rh 2.85
3 Ti 0.2874 0.2874 0.1377  4 Rh 2.59-2.60
4 Ti 0.7126 0.7126 0.8623  4 Rh 2.59-2.60
5 Al 0.8695 0.8695 0.3916  3 Rh 2.57, 3 Al 2.81
6 Al 0.1305 0.1305 0.6084  3 Rh 2.57, 3 Al 2.81



7.
# La2CeGe3Ir4

La2CeGe3Ir4 after structural relaxation (PBE, the Alexandria database).

Its density is 11.4 g/cm³. The total energy comes out at -7.308 eV per atom. The total moment is 0.0 μB per formula unit.

abc: 4.2927 4.2927 11.0995
angles: 90.00 90.00 90.00
With the nearest neighbours (Å) after each atom.
Element x y z (fractional)
1 La 0.5000 0.0000 0.2279  4 Ge 3.26, 8 Ir 3.31-3.32
2 La 0.0000 0.5000 0.7721  4 Ge 3.26, 8 Ir 3.31-3.32
3 Ce 0.5000 0.5000 0.5000  4 Ir 2.74, 4 Ge 3.04
4 Ge 0.0000 0.0000 0.5000  4 Ir 2.74, 4 Ce 3.04
5 Ge 0.5000 0.0000 0.8780  5 Ir 2.50-2.54
6 Ge 0.0000 0.5000 0.1220  5 Ir 2.50-2.54
7 Ir 0.5000 0.5000 0.0000  4 Ge 2.54
8 Ir 0.0000 0.0000 0.0000  4 Ge 2.54
9 Ir 0.5000 0.0000 0.6528  3 Ge 2.50-2.74, 2 Ce 2.74
10 Ir 0.0000 0.5000 0.3472  3 Ge 2.50-2.74, 2 Ce 2.74



8.
# ErGa4Ag2

ErGa4Ag2 after structural relaxation (PBE, the Alexandria database).

Its density is 8.2 g/cm³. The total energy comes out at -3.403 eV per atom. The total moment is 0.0 μB per formula unit.

abc: 5.1601 5.7606 5.7602
angles: 69.00 63.19 63.19
With the nearest neighbours (Å) after each atom.
Element x y z (fractional)
1 Ag 0.8098 0.4434 0.4435  4 Ga 2.66-2.77, 2 Ag 2.70-2.76
2 Ag 0.1901 0.5566 0.5565  4 Ga 2.66-2.77, 2 Ag 2.70-2.76
3 Ga 0.6649 0.6104 0.0092  2 Ga 2.60, 2 Ag 2.66-2.77
4 Ga 0.3351 0.3896 0.9908  2 Ga 2.60, 2 Ag 2.66-2.77
5 Ga 0.6648 0.0092 0.6104  2 Ga 2.60, 2 Ag 2.66-2.77
6 Ga 0.3352 0.9908 0.3896  2 Ga 2.60, 2 Ag 2.66-2.77
7 Er 0.0000 0.0000 0.0000  12 Ga 3.15-3.37



9.
# PdSe3F

PdSe3F after structural relaxation (PBE, the Alexandria database).

Its density is 6.1 g/cm³. The total energy comes out at -2.898 eV per atom. The total moment is 0.9 μB per formula unit. The calculation puts the polymorph energy (0 for the lowest one) at 195 meV/atom.

abc: 4.6189 4.6189 4.6189
angles: 90.00 90.00 90.00
With the nearest neighbours (Å) after each atom.
Element x y z (fractional)
1 Se 0.0000 0.5000 0.0000  2 F 2.31
2 Se 0.0000 0.0000 0.5000  2 F 2.31
3 Se 0.5000 0.0000 0.0000  2 F 2.31
4 Pd 0.5000 0.5000 0.5000  12 Se 3.27
5 F 0.0000 0.0000 0.0000  6 Se 2.31



10.
# La8Ir3AuI3

La8Ir3AuI3 after structural relaxation (PBE, the Alexandria database).

Its density is 7.3 g/cm³. The total energy comes out at -5.880 eV per atom. The total moment is 0.0 μB per formula unit.

abc: 8.6281 8.6097 9.4318
angles: 117.16 90.01 120.03
With the nearest neighbours (Å) after each atom.
Element x y z (fractional)
1 La 0.2704 0.5407 0.3093  3 Ir 2.91-2.93
2 La 0.7296 0.4593 0.6907  3 Ir 2.91-2.93
3 La 0.7605 0.5208 0.3075  2 Ir 2.88, 1 Au 3.04
4 La 0.2395 0.4792 0.6925  2 Ir 2.88, 1 Au 3.04
5 La 0.7607 0.0477 0.3075  2 Ir 2.87-2.88, 1 Au 3.04
6 La 0.2393 0.9523 0.6925  2 Ir 2.87-2.88, 1 Au 3.04
7 La 0.2870 0.0479 0.3073  2 Ir 2.87-2.88, 1 Au 3.04
8 La 0.7130 0.9521 0.6927  2 Ir 2.87-2.88, 1 Au 3.04
9 Ir 0.5000 0.0000 0.5000  6 La 2.88-2.91
10 Ir 0.5000 0.5000 0.5000  6 La 2.87-2.92
11 Ir 0.0000 0.5000 0.5000  6 La 2.87-2.93
12 Au 0.0000 0.0000 0.5000  6 La 3.04
13 I 0.0000 0.0000 0.0000  6 La 3.51-3.55
14 I 0.0000 0.5000 0.0000  6 La 3.51-3.55
15 I 0.5000 0.5000 0.0000  6 La 3.51-3.55



11.
# MgPt2Se

MgPt2Se after structural relaxation (PBE, the Alexandria database).

Its density is 11.9 g/cm³. The total energy comes out at -4.602 eV per atom. The total moment is 0.0 μB per formula unit. The calculation puts the polymorph energy (0 for the lowest one) at 32 meV/atom.

abc: 5.2944 5.2944 4.4579
angles: 87.93 87.93 33.51
With the nearest neighbours (Å) after each atom.
Element x y z (fractional)
1 Mg 0.2687 0.2687 0.2433  6 Pt 2.69-2.86, 1 Se 2.81
2 Pt 0.9847 0.9847 0.9942  4 Se 2.67-2.77, 1 Pt 2.83, 2 Mg 2.86
3 Pt 0.7301 0.7301 0.7570  1 Se 2.48, 4 Mg 2.69-2.77
4 Se 0.5164 0.5164 0.5055  5 Pt 2.48-2.77



12.
# SnHRu3

SnHRu3 after structural relaxation (PBE, the Alexandria database).

Its density is 11.0 g/cm³. The total energy comes out at -6.902 eV per atom. The total moment is 0.0 μB per formula unit. The calculation puts the polymorph energy (0 for the lowest one) at 0 meV/atom.

abc: 3.9979 3.9979 3.9979
angles: 90.00 90.00 90.00
With the nearest neighbours (Å) after each atom.
Element x y z (fractional)
1 Ru 0.0000 0.5000 0.0000  2 H 2.00
2 Ru 0.0000 0.0000 0.5000  2 H 2.00
3 Ru 0.5000 0.0000 0.0000  2 H 2.00
4 Sn 0.5000 0.5000 0.5000  12 Ru 2.83
5 H 0.0000 0.0000 0.0000  6 Ru 2.00